# 1
Material: Cs2AsS3
Method: DFT, PBE
State: relaxed

Cell: 7.514 14.361 16.561 Å, 90.00 94.51 90.00°
Space group C2/c (No. 15)
Symmetry-distinct sites (fractional):
Cs1 0.224 0.189 0.348 (multiplicity 8)
Cs2 0.249 0.108 0.926 (multiplicity 8)
As1 0.245 0.499 0.832 (multiplicity 8)
S1 0.000 0.011 0.750 (multiplicity 4)
S2 0.000 0.433 0.250 (multiplicity 4)
S3 0.195 0.352 0.861 (multiplicity 8)
S4 0.250 0.088 0.558 (multiplicity 8)

- Raw total energy: -3.9245 eV/atom


# 2
Material: ZrBeMoPb2
Method: DFT, PBE
State: relaxed

Cell: 5.290 5.290 4.313 Å, 90.00 90.00 90.00°
Space group P4/mmm (No. 123)
Symmetry-distinct sites (fractional):
Zr1 0.000 0.000 0.000 (multiplicity 1)
Be1 0.500 0.500 0.000 (multiplicity 1)
Mo1 0.500 0.500 0.500 (multiplicity 1)
Pb1 0.000 0.500 0.500 (multiplicity 2)

- ΔE_f: 0.95 eV/atom


# 3
Material: PrHo6In2
Method: DFT, PBE
State: relaxed

Cell: 6.234 6.234 15.239 Å, 90.00 90.00 90.00°
Space group I-42m (No. 121)
Symmetry-distinct sites (fractional):
Pr1 0.000 0.000 0.000 (multiplicity 2)
Ho1 0.000 0.500 0.250 (multiplicity 4)
Ho2 0.178 0.178 0.586 (multiplicity 8)
In1 0.000 0.000 0.217 (multiplicity 4)

- ΔE_f: 0.30 eV/atom


Repeat the first record exactly.
Material: Cs2AsS3
Method: DFT, PBE
State: relaxed

Cell: 7.514 14.361 16.561 Å, 90.00 94.51 90.00°
Space group C2/c (No. 15)
Symmetry-distinct sites (fractional):
Cs1 0.224 0.189 0.348 (multiplicity 8)
Cs2 0.249 0.108 0.926 (multiplicity 8)
As1 0.245 0.499 0.832 (multiplicity 8)
S1 0.000 0.011 0.750 (multiplicity 4)
S2 0.000 0.433 0.250 (multiplicity 4)
S3 0.195 0.352 0.861 (multiplicity 8)
S4 0.250 0.088 0.558 (multiplicity 8)

- Raw total energy: -3.9245 eV/atom